Density functional theory data (PBE) for a geometry-optimized SrCu17Ag structure.

a b c (Å): 6.455 6.455 6.455
angles (deg): 82.97 82.97 82.97
Fractional coordinates of all 19 atoms:
1 Cu 0.996 0.502 0.996
2 Cu 0.908 0.908 0.908
3 Cu 0.996 0.996 0.502
4 Cu 0.005 0.701 0.293
5 Cu 0.650 0.650 0.158
6 Cu 0.293 0.701 0.005
7 Cu 0.340 0.861 0.340
8 Cu 0.005 0.293 0.701
9 Cu 0.340 0.340 0.861
10 Cu 0.861 0.340 0.340
11 Cu 0.701 0.005 0.293
12 Cu 0.701 0.293 0.005
13 Cu 0.502 0.996 0.996
14 Cu 0.103 0.103 0.103
15 Cu 0.293 0.005 0.701
16 Cu 0.158 0.650 0.650
17 Cu 0.650 0.158 0.650
18 Ag 0.344 0.344 0.344
19 Sr 0.654 0.654 0.654

The space-group type is R3m. Its energy of formation is 0.044 eV per atom.

Density functional theory data (PBE) for a geometry-optimized BC3 structure.

a b c (Å): 2.589 4.566 6.355
angles (deg): 89.71 90.00 90.00
Fractional coordinates of all 12 atoms:
1 B 0.500 0.505 0.951
2 B 0.000 0.652 0.671
3 B 0.500 0.504 0.293
4 C 0.000 0.682 0.932
5 C 0.500 0.848 0.332
6 C 0.500 0.153 0.666
7 C 0.000 0.317 0.584
8 C 0.500 0.845 0.573
9 C 0.000 0.322 0.338
10 C 0.500 0.158 0.913
11 C 0.000 0.004 0.000
12 C 0.000 0.009 0.248

The space-group type is Pm. Its energy of formation is 0.276 eV per atom.

Density functional theory data (PBE) for a geometry-optimized Na2InPbI4 structure.

a b c (Å): 5.226 8.166 7.910
angles (deg): 112.55 90.00 90.00
Fractional coordinates of all 8 atoms:
1 I 0.000 0.762 0.262
2 I 0.500 0.239 0.259
3 I 0.000 0.238 0.738
4 I 0.500 0.761 0.741
5 Pb 0.000 0.000 0.000
6 In 0.500 0.500 0.000
7 Na 0.000 0.500 0.500
8 Na 0.500 0.000 0.500

The space-group type is P2/m. The energy relative to the elements, uncorrected is -691 meV/atom.

Density functional theory data (PBE) for a geometry-optimized CaCdP structure.

a b c (Å): 4.290 4.290 4.542
angles (deg): 90.00 90.00 120.00
Fractional coordinates of all 3 atoms:
1 Ca 0.000 0.000 0.967
2 P 0.333 0.667 0.611
3 Cd 0.667 0.333 0.422

The space-group type is P3m1. Its energy of formation is -0.506 eV per atom.

Density functional theory data (PBE) for a geometry-optimized Li4Ga2Hg3 structure.

a b c (Å): 4.513 4.790 8.563
angles (deg): 86.06 90.01 61.91
Fractional coordinates of all 9 atoms:
1 Hg 0.661 0.677 0.584
2 Hg 0.339 0.323 0.416
3 Hg 0.000 0.000 0.000
4 Ga 0.316 0.367 0.773
5 Ga 0.684 0.633 0.227
6 Li 0.015 0.970 0.328
7 Li 0.661 0.678 0.900
8 Li 0.985 0.030 0.672
9 Li 0.339 0.322 0.100

The space-group type is C2/m. Its energy of formation is -0.265 eV per atom.

Density functional theory data (PBE) for a geometry-optimized Cd2InHg2 structure.

a b c (Å): 8.947 8.947 3.164
angles (deg): 90.00 90.00 90.00
Fractional coordinates of all 10 atoms:
1 Cd 0.367 0.133 0.500
2 Cd 0.133 0.633 0.500
3 Cd 0.867 0.367 0.500
4 Cd 0.633 0.867 0.500
5 In 0.000 0.000 0.000
6 In 0.500 0.500 0.000
7 Hg 0.335 0.835 0.000
8 Hg 0.665 0.165 0.000
9 Hg 0.165 0.335 0.000
10 Hg 0.835 0.665 0.000

The space-group type is P4/mbm. Its energy of formation is 0.041 eV per atom.